Y2RhF2 | GGA-PBEsol | relaxed

## Properties
* calculated density: 6.638 Mg/m³
* formation energy (no corrections): -2.4687 eV/atom

Structure (CIF):
```
data_Y2RhF2
_chemical_formula_sum 'Y4 Rh2 F4'
_cell_length_a 3.493
_cell_length_b 3.493
_cell_length_c 13.072
_cell_angle_alpha 90.00
_cell_angle_beta 90.00
_cell_angle_gamma 90.00
_space_group_name_H-M_alt 'I 4/m m m'
_space_group_IT_number 139
_space_group_name_Hall '-I 4 2'
loop_
_atom_site_label
_atom_site_type_symbol
_atom_site_fract_x
_atom_site_fract_y
_atom_site_fract_z
Y1 Y 0.000 0.000 0.128
Rh1 Rh 0.000 0.000 0.500
F1 F 0.000 0.500 0.250
```